one) Below is a relaxed PmDy4Zn crystal, with properties calculated at the PBE level.

Cell: 3.570 3.570 13.700 Å, 90.00 90.00 90.00°
Space group P4/mmm (No. 123)
Asymmetric unit:
Pm: 0.000 0.000 0.000
Dy: 0.000 0.000 0.371
Dy: 0.500 0.500 0.186
Zn: 0.500 0.500 0.500

***

two) Below is a relaxed PmDy4Zn crystal, with properties calculated at the PBE level.

Cell: 8.859 13.584 6.212 Å, 90.00 108.95 90.00°
Space group C2/c (No. 15)
Asymmetric unit:
Pm: 0.000 0.099 0.250
Dy: 0.105 0.319 0.552
Dy: 0.225 0.110 0.871
Zn: 0.000 0.500 0.250

***

Most stable structure, least stable structure: one), two).

***

one) Below is a relaxed PmDyZr crystal, with properties calculated at the PBE level.

Cell: 3.411 3.411 14.980 Å, 90.00 90.00 90.00°
Space group I4mm (No. 107)
Asymmetric unit:
Pm: 0.000 0.000 0.000
Dy: 0.000 0.000 0.688
Zr: 0.000 0.000 0.340

***

two) Below is a relaxed PmDyZr crystal, with properties calculated at the PBE level.

Cell: 3.385 4.900 10.567 Å, 90.00 99.12 90.00°
Space group P2_1/m (No. 11)
Asymmetric unit:
Pm: 0.054 0.250 0.101
Dy: 0.363 0.250 0.730
Zr: 0.216 0.250 0.429

***

three) Below is a relaxed PmDyZr crystal, with properties calculated at the PBE level.

Cell: 5.4190 5.4190 3.3957 Å, 90.00 90.00 120.00°
Space group P-6m2 (No. 187)
Asymmetric unit:
Pm: 0.0000 0.0000 0.0000
Dy: 0.6667 0.3333 0.5000
Zr: 0.3333 0.6667 0.0000

***

Most stable structure, least stable structure: one), three).

***

one) Below is a relaxed PmDyZr2 crystal, with properties calculated at the PBE level.

Cell: 5.2847 5.2847 13.4735 Å, 90.00 90.00 120.00°
Space group R-3m (No. 166, hexagonal axes)
Asymmetric unit:
Pm: 0.0000 0.0000 0.0000
Dy: 0.0000 0.0000 0.5000
Zr: 0.0000 0.0000 0.2685

***

two) Below is a relaxed PmDyZr2 crystal, with properties calculated at the PBE level.

Cell: 3.961 3.961 6.934 Å, 90.00 90.00 90.00°
Space group P4/mmm (No. 123)
Asymmetric unit:
Pm: 0.000 0.000 0.000
Dy: 0.000 0.000 0.500
Zr: 0.500 0.500 0.275

***

three) Below is a relaxed PmDyZr2 crystal, with properties calculated at the PBE level.

Cell: 4.730 4.730 4.852 Å, 90.00 90.00 90.00°
Space group P4/mmm (No. 123)
Asymmetric unit:
Pm: 0.000 0.000 0.000
Dy: 0.500 0.500 0.000
Zr: 0.000 0.500 0.500

***

Most stable structure, least stable structure: three), one).